[1]
Compound: LaBr2Cl
Source: Alexandria
Functional: PBE
Structure: relaxed

Calculated values
The polymorph energy (0 for the lowest one) comes out at 493.3 meV/atom. The calculation puts the raw formation energy at -1.64 eV per atom. The magnetic moment comes out at 0.00 μB/cell.

a = 4.0255 Å, b = 4.0255 Å, c = 7.9000 Å
α = 90.00°, β = 90.00°, γ = 90.00°
Last column: nearest neighbours and their distance in Å.
Space group P4mm (No. 99)
Asymmetric unit:
La: 0.0000 0.0000 0.0000 x1  1 Br 2.74, 4 Cl 3.05
Br: 0.0000 0.0000 0.6533 x1  1 La 2.74
Br: 0.5000 0.5000 0.2513 x1  1 Cl 3.08
Cl: 0.5000 0.5000 0.8611 x1  4 La 3.05, 5 Br 3.08-3.29

***

[2]
Compound: LaBrCl2
Source: Alexandria
Functional: PBE
Structure: relaxed

Calculated values
The polymorph energy (0 for the lowest one) comes out at 510.5 meV/atom. The calculation puts the raw formation energy at -1.74 eV per atom. The magnetic moment comes out at 0.00 μB/cell.

a = 5.1817 Å, b = 5.1817 Å, c = 18.8310 Å
α = 90.00°, β = 90.00°, γ = 90.00°
Last column: nearest neighbours and their distance in Å.
Space group I-42d (No. 122)
Asymmetric unit:
La: 0.0000 0.0000 0.0000 x4  4 Cl 2.81
Br: 0.0000 0.0000 0.5000 x4  4 Cl 3.22
Cl: 0.1571 0.2500 0.1250 x8  2 La 2.81, 2 Cl 3.06

***

[3]
Compound: LaBr2Cl
Source: Alexandria
Functional: PBE
Structure: relaxed

Calculated values
The polymorph energy (0 for the lowest one) comes out at 814.1 meV/atom. The calculation puts the raw formation energy at -1.32 eV per atom. The magnetic moment comes out at 0.00 μB/cell.

a = 4.6525 Å, b = 4.6525 Å, c = 25.9088 Å
α = 90.00°, β = 90.00°, γ = 120.00°
Last column: nearest neighbours and their distance in Å.
Space group R-3m (No. 166, hexagonal axes)
Asymmetric unit:
La: 0.0000 0.0000 0.0000 x3  6 Br 3.02
Br: 0.0000 0.0000 0.3863 x6  1 Cl 2.95, 3 La 3.02
Cl: 0.0000 0.0000 0.5000 x3  2 Br 2.95

***

[4]
Compound: La2Br2Cl3
Source: Alexandria
Functional: PBE
Structure: relaxed

Calculated values
The calculation puts the raw formation energy at -2.12 eV per atom. The magnetic moment comes out at 0.00 μB/cell.

a = 12.7698 Å, b = 4.0638 Å, c = 8.2489 Å
α = 90.00°, β = 113.02°, γ = 90.00°
Last column: nearest neighbours and their distance in Å.
Space group C2/m (No. 12)
Asymmetric unit:
La: 0.1684 0.0000 0.2034 x4  5 Cl 2.94-3.06, 3 Br 3.06-3.19
Br: 0.1556 0.0000 0.8098 x4  3 La 3.06-3.19
Cl: 0.0000 0.5000 0.0000 x2  4 La 2.96
Cl: 0.1346 0.5000 0.4354 x4  3 La 2.94-3.06

***

[5]
Compound: LaBrCl2
Source: Alexandria
Functional: PBE
Structure: relaxed

Calculated values
The polymorph energy (0 for the lowest one) comes out at 512.2 meV/atom. The calculation puts the raw formation energy at -1.74 eV per atom. The magnetic moment comes out at 0.00 μB/cell.

a = 4.6033 Å, b = 4.6033 Å, c = 4.6003 Å
α = 90.00°, β = 90.00°, γ = 90.00°
Last column: nearest neighbours and their distance in Å.
Space group P4/mmm (No. 123)
Asymmetric unit:
La: 0.0000 0.0000 0.0000 x1  8 Cl 3.25, 4 Br 3.26
Br: 0.5000 0.5000 0.0000 x1  8 Cl 3.25, 4 La 3.26
Cl: 0.0000 0.5000 0.5000 x2  4 Br 3.25, 4 La 3.25, 4 Cl 3.26

***

[6]
Compound: LaBrCl2
Source: Alexandria
Functional: PBE
Structure: relaxed

Calculated values
The polymorph energy (0 for the lowest one) comes out at 396.2 meV/atom. The calculation puts the raw formation energy at -1.86 eV per atom. The magnetic moment comes out at 0.00 μB/cell.

a = 7.2737 Å, b = 7.2737 Å, c = 7.2737 Å
α = 90.00°, β = 90.00°, γ = 90.00°
Last column: nearest neighbours and their distance in Å.
Space group Fm-3m (No. 225)
Asymmetric unit:
La: 0.0000 0.0000 0.0000 x4  8 Cl 3.15
Br: 0.0000 0.0000 0.5000 x4  8 Cl 3.15
Cl: 0.2500 0.2500 0.2500 x8  4 La 3.15, 4 Br 3.15

***

[7]
Compound: La2BrCl2
Source: Alexandria
Functional: PBE
Structure: relaxed

Calculated values
The polymorph energy (0 for the lowest one) comes out at 0.0 meV/atom. The calculation puts the raw formation energy at -1.80 eV per atom. The magnetic moment comes out at 0.00 μB/cell.

a = 12.7858 Å, b = 5.7711 Å, c = 8.4661 Å
α = 90.00°, β = 109.15°, γ = 90.00°
Last column: nearest neighbours and their distance in Å.
Space group C2/m (No. 12)
Asymmetric unit:
La: 0.0071 0.0000 0.2793 x4  4 Cl 2.88-2.97, 2 Br 3.05-3.11
La: 0.1586 0.5000 0.5741 x4  5 Cl 2.91-2.97, 1 Br 3.06
Br: 0.1660 0.0000 0.0776 x4  3 La 3.05-3.11
Cl: 0.0023 0.5000 0.7675 x4  4 La 2.91-2.97
Cl: 0.1839 0.0000 0.6111 x4  5 La 2.88-2.97

***

[8]
Compound: LaBr2Cl
Source: Alexandria
Functional: PBE
Structure: relaxed

Calculated values
The polymorph energy (0 for the lowest one) comes out at 0.0 meV/atom. The calculation puts the raw formation energy at -2.13 eV per atom. The magnetic moment comes out at 0.00 μB/cell.

a = 4.2060 Å, b = 14.0481 Å, c = 9.2815 Å
α = 90.00°, β = 90.00°, γ = 90.00°
Last column: nearest neighbours and their distance in Å.
Space group Cmcm (No. 63)
Asymmetric unit:
La: 0.0000 0.2422 0.2500 x4  2 Cl 2.80, 4 Br 3.11
Br: 0.0000 0.1505 0.5642 x8  3 La 3.11-3.19, 1 Br 3.45
Cl: 0.0000 0.3892 0.7500 x4  2 La 2.80

***

Repeat the sixth record exactly.
Compound: LaBrCl2
Source: Alexandria
Functional: PBE
Structure: relaxed

Calculated values
The polymorph energy (0 for the lowest one) comes out at 396.2 meV/atom. The calculation puts the raw formation energy at -1.86 eV per atom. The magnetic moment comes out at 0.00 μB/cell.

a = 7.2737 Å, b = 7.2737 Å, c = 7.2737 Å
α = 90.00°, β = 90.00°, γ = 90.00°
Last column: nearest neighbours and their distance in Å.
Space group Fm-3m (No. 225)
Asymmetric unit:
La: 0.0000 0.0000 0.0000 x4  8 Cl 3.15
Br: 0.0000 0.0000 0.5000 x4  8 Cl 3.15
Cl: 0.2500 0.2500 0.2500 x8  4 La 3.15, 4 Br 3.15

***

Please write out number 7 again, unchanged.
Compound: La2BrCl2
Source: Alexandria
Functional: PBE
Structure: relaxed

Calculated values
The polymorph energy (0 for the lowest one) comes out at 0.0 meV/atom. The calculation puts the raw formation energy at -1.80 eV per atom. The magnetic moment comes out at 0.00 μB/cell.

a = 12.7858 Å, b = 5.7711 Å, c = 8.4661 Å
α = 90.00°, β = 109.15°, γ = 90.00°
Last column: nearest neighbours and their distance in Å.
Space group C2/m (No. 12)
Asymmetric unit:
La: 0.0071 0.0000 0.2793 x4  4 Cl 2.88-2.97, 2 Br 3.05-3.11
La: 0.1586 0.5000 0.5741 x4  5 Cl 2.91-2.97, 1 Br 3.06
Br: 0.1660 0.0000 0.0776 x4  3 La 3.05-3.11
Cl: 0.0023 0.5000 0.7675 x4  4 La 2.91-2.97
Cl: 0.1839 0.0000 0.6111 x4  5 La 2.88-2.97